First-principles (PBE-GGA) data for a relaxed Y2ZnHRh crystal, as listed in Alexandria via LeMat-Bulk.

Properties
For the magnetic moment, the calculation gives 0.00 μB per atom. For the density of states at the Fermi level, the calculation gives 1.415 states/eV/f.u. Its calculated volume is 86.9 Å³ per cell. The value obtained for the uncorrected energy is -27.4 eV per formula unit.

Cell lengths 4.8130, 4.8130, 3.7514 Å; angles 90.00, 90.00, 90.00 degrees
Last column: nearest neighbours and their distance in Å.
Positions (direct):
1 Y 0.5000 0.0000 0.0000  2 H 2.41
2 Y 0.0000 0.5000 0.0000  2 H 2.41
3 Zn 0.0000 0.0000 0.5000  2 H 1.88
4 H 0.0000 0.0000 0.0000  2 Zn 1.88
5 Rh 0.5000 0.5000 0.5000  8 Y 3.05, 4 Zn 3.40